[1]
Computed, not measured: a PBEsol-optimized structure of RePtC2 at the meta-GGA SCAN level of DFT.

The structure in POSCAR format:
```
RePtC2
1.0
0.000 2.717 2.717
2.717 0.000 2.717
2.717 2.717 0.000
Re Pt C
1 1 2
direct
0.000 0.000 0.000
0.500 0.500 0.500
0.250 0.250 0.250
0.750 0.750 0.750
```

---

[2]
Computed, not measured: a PBEsol-optimized structure of Re3PtC at the meta-GGA SCAN level of DFT.

The structure in POSCAR format:
```
Re3PtC
1.0
4.682 0.000 0.000
0.000 4.682 0.000
0.000 0.000 4.682
Re Pt C
3 1 1
direct
0.000 0.000 0.500
0.000 0.500 0.000
0.500 0.000 0.000
0.000 0.000 0.000
0.500 0.500 0.500
```

---

[3]
Computed, not measured: a PBEsol-optimized structure of PtRh2WC at the meta-GGA SCAN level of DFT.

The structure in POSCAR format:
```
PtRh2WC
1.0
3.987 0.000 0.000
0.000 3.987 0.000
0.000 0.000 4.215
Pt Rh W C
1 2 1 1
direct
0.000 0.000 0.000
0.000 0.500 0.500
0.500 0.000 0.500
0.500 0.500 0.000
0.000 0.000 0.500
```

---

[4]
Ru2PtC2, PBEsol geometry, DFT meta-GGA SCAN; energy above the lowest structure with this stoichiometry = 173 meV per atom
1.0
-1.637 1.637 5.253
1.637 -1.637 5.253
1.637 1.637 -5.253
Ru Pt C
2 1 2
direct
0.135 0.135 0.000
0.865 0.865 0.000
0.500 0.500 0.000
0.250 0.750 0.500
0.750 0.250 0.500

---

Number 1: Fermi-level density of states 1.2 states/eV/cell, energy of formation 1687 meV/atom. Number 2: Fermi-level density of states 4.3 states/eV/cell, energy of formation 3798 meV/atom. Number 3: Fermi-level density of states 5.4 states/eV/cell, energy of formation 686 meV/atom. Number 4: Fermi-level density of states 2.8 states/eV/cell, energy of formation 824 meV/atom.